{
  "formula": "PrPuCo",
  "functional": "PBE",
  "state": "relaxed",
  "cell": [[-3.868, 2.241, 1.569], [-1.314, 4.110, -1.957], [-3.883, 0.200, -2.707]],
  "species": ["Co", "Pr", "Pu"],
  "fractional_positions": [[0.000, 0.000, 0.000], [0.250, 0.250, 0.250], [0.750, 0.750, 0.750]],
  "de_polymorph_mev_per_atom": 0.0,
  "formation_energy_ev_per_atom": 0.133
}



{
  "formula": "RbPrCo",
  "functional": "PBE",
  "state": "relaxed",
  "cell": [[0.000, 3.540, 3.540], [3.540, 0.000, 3.540], [3.540, 3.540, 0.000]],
  "species": ["Pr", "Rb", "Co"],
  "fractional_positions": [[0.250, 0.250, 0.250], [0.750, 0.750, 0.750], [0.000, 0.000, 0.000]],
  "de_polymorph_mev_per_atom": 0.0
}



{
  "formula": "PrScCo",
  "functional": "PBE",
  "state": "relaxed",
  "cell": [[0.659, 1.630, 4.184], [-2.325, 3.633, 1.413], [-3.235, -0.460, 3.150]],
  "species": ["Pr", "Co", "Sc"],
  "fractional_positions": [[0.750, 0.750, 0.750], [0.250, 0.250, 0.250], [0.000, 0.000, 0.000]],
  "formation_energy_ev_per_atom": 0.637
}



{
  "formula": "PrCoSe3",
  "functional": "PBE",
  "state": "relaxed",
  "cell": [[7.991, 0.000, 0.000], [0.000, 3.873, 0.000], [-0.009, 0.000, 13.525]],
  "species": ["Se", "Se", "Se", "Se", "Se", "Se", "Se", "Se", "Se", "Se", "Se", "Se", "Co", "Co", "Co", "Co", "Pr", "Pr", "Pr", "Pr"],
  "fractional_positions": [[0.187, 0.750, 0.293], [0.500, 0.250, 0.404], [0.659, 0.250, 0.000], [0.841, 0.750, 0.500], [0.313, 0.250, 0.793], [0.000, 0.250, 0.096], [0.341, 0.750, 0.000], [0.813, 0.250, 0.707], [0.159, 0.250, 0.500], [0.500, 0.750, 0.596], [0.000, 0.750, 0.904], [0.687, 0.750, 0.207], [0.332, 0.750, 0.453], [0.668, 0.250, 0.547], [0.168, 0.250, 0.953], [0.832, 0.750, 0.047], [0.894, 0.250, 0.330], [0.394, 0.250, 0.170], [0.106, 0.750, 0.670], [0.606, 0.750, 0.830]],
  "e_tot_ev_per_atom": -5.52
}



{
  "formula": "PrCo9Si4",
  "functional": "PBE",
  "state": "relaxed",
  "cell": [[0.000, -7.735, 0.000], [-7.735, 0.000, 0.000], [3.867, 3.867, -5.718]],
  "species": ["Co", "Co", "Co", "Co", "Co", "Co", "Co", "Co", "Co", "Co", "Co", "Co", "Co", "Co", "Co", "Co", "Co", "Co", "Si", "Si", "Si", "Si", "Si", "Si", "Si", "Si", "Pr", "Pr"],
  "fractional_positions": [[0.430, 0.700, 0.000], [0.800, 0.070, 0.000], [0.200, 0.930, 0.000], [0.551, 0.051, 0.360], [0.449, 0.949, 0.640], [0.809, 0.309, 0.360], [0.691, 0.449, 0.640], [0.191, 0.691, 0.640], [0.500, 0.000, 0.000], [0.309, 0.551, 0.360], [0.949, 0.191, 0.640], [0.051, 0.809, 0.360], [0.070, 0.200, 0.000], [0.300, 0.430, 0.000], [0.930, 0.800, 0.000], [0.570, 0.300, 0.000], [0.000, 0.500, 0.000], [0.700, 0.570, 0.000], [0.790, 0.952, 0.242], [0.048, 0.548, 0.758], [0.290, 0.790, 0.242], [0.548, 0.710, 0.758], [0.710, 0.210, 0.758], [0.952, 0.452, 0.242], [0.452, 0.290, 0.242], [0.210, 0.048, 0.758], [0.750, 0.750, 0.500], [0.250, 0.250, 0.500]],
  "e_tot_ev_per_atom": -6.92
}



{
  "formula": "PrSmCo2Si2",
  "functional": "PBE",
  "state": "relaxed",
  "cell": [[4.016, 0.000, 0.000], [0.000, 4.016, 0.000], [0.000, 0.000, 7.050]],
  "species": ["Sm", "Si", "Si", "Pr", "Co", "Co"],
  "fractional_positions": [[0.500, 0.500, 0.690], [0.000, 0.000, 0.827], [0.500, 0.500, 0.167], [0.000, 0.000, 0.321], [0.000, 0.500, 0.997], [0.500, 0.000, 0.997]],
  "e_tot_ev_per_atom": -6.45
}



{
  "formula": "SrPrCo2Si2",
  "functional": "PBE",
  "state": "relaxed",
  "cell": [[3.991, 0.000, 0.000], [0.000, 3.991, 0.000], [0.000, 0.000, 7.285]],
  "species": ["Si", "Si", "Pr", "Co", "Co", "Sr"],
  "fractional_positions": [[0.500, 0.500, 0.163], [0.000, 0.000, 0.840], [0.000, 0.000, 0.317], [0.500, 0.000, 0.005], [0.000, 0.500, 0.005], [0.500, 0.500, 0.670]],
  "e_tot_ev_per_atom": -5.77
}



{
  "formula": "PrYCo2Si4",
  "functional": "PBE",
  "state": "relaxed",
  "cell": [[-4.221, -0.622, 0.255], [0.197, -2.583, -3.046], [2.968, -5.611, 4.951]],
  "species": ["Si", "Si", "Si", "Si", "Y", "Co", "Co", "Pr"],
  "fractional_positions": [[0.542, 0.500, 0.590], [0.823, 0.000, 0.011], [0.182, 0.500, 0.996], [0.452, 0.000, 0.404], [0.899, 0.500, 0.295], [0.630, 0.500, 0.888], [0.377, 0.000, 0.116], [0.094, 0.000, 0.700]],
  "e_tot_ev_per_atom": -6.64
}



{
  "formula": "PrYCo2Si2",
  "functional": "PBE",
  "state": "relaxed",
  "cell": [[3.985, 0.000, 0.000], [0.000, 3.985, 0.000], [0.000, 0.000, 6.997]],
  "species": ["Si", "Si", "Co", "Co", "Y", "Pr"],
  "fractional_positions": [[0.500, 0.500, 0.178], [0.000, 0.000, 0.835], [0.500, 0.000, 0.004], [0.000, 0.500, 0.004], [0.000, 0.000, 0.304], [0.500, 0.500, 0.677]],
  "e_tot_ev_per_atom": -6.75
}



{
  "formula": "PrSmTlCo2",
  "functional": "PBE",
  "state": "relaxed",
  "cell": [[4.047, 0.000, 0.000], [0.000, 1.949, 7.185], [0.000, -1.949, 7.185]],
  "species": ["Pr", "Co", "Co", "Sm", "Tl"],
  "fractional_positions": [[0.500, 0.363, 0.363], [0.000, 0.788, 0.788], [0.000, 0.208, 0.208], [0.500, 0.638, 0.638], [0.000, 0.002, 0.002]],
  "e_tot_ev_per_atom": -5.43
}



{
  "formula": "Pr4Co2Sn5",
  "functional": "PBE",
  "state": "relaxed",
  "cell": [[7.112, -2.290, 0.000], [7.112, 2.290, 0.000], [-6.813, 0.000, 8.602]],
  "species": ["Sn", "Sn", "Sn", "Sn", "Sn", "Co", "Co", "Pr", "Pr", "Pr", "Pr"],
  "fractional_positions": [[0.372, 0.372, 0.443], [0.628, 0.628, 0.557], [0.346, 0.346, 0.023], [0.000, 0.000, 0.000], [0.654, 0.654, 0.977], [0.226, 0.226, 0.138], [0.774, 0.774, 0.862], [0.332, 0.332, 0.715], [0.061, 0.061, 0.719], [0.939, 0.939, 0.281], [0.668, 0.668, 0.285]],
  "e_tot_ev_per_atom": -5.44
}



{
  "formula": "PrCoSn",
  "functional": "PBE",
  "state": "relaxed",
  "cell": [[0.000, 3.298, 3.298], [3.298, 0.000, 3.298], [3.298, 3.298, 0.000]],
  "species": ["Co", "Sn", "Pr"],
  "fractional_positions": [[0.000, 0.000, 0.000], [0.750, 0.750, 0.750], [0.250, 0.250, 0.250]],
  "e_tot_ev_per_atom": -5.55
}



{
  "formula": "PrTlCoTe3",
  "functional": "PBE",
  "state": "relaxed",
  "cell": [[12.494, 0.000, 0.000], [0.000, 4.448, 0.000], [0.000, 0.000, 13.335]],
  "species": ["Pr", "Pr", "Pr", "Pr", "Tl", "Tl", "Tl", "Tl", "Co", "Co", "Co", "Co", "Te", "Te", "Te", "Te", "Te", "Te", "Te", "Te", "Te", "Te", "Te", "Te"],
  "fractional_positions": [[0.476, 0.250, 0.176], [0.524, 0.750, 0.824], [0.024, 0.750, 0.676], [0.976, 0.250, 0.324], [0.825, 0.250, 0.002], [0.325, 0.250, 0.498], [0.675, 0.750, 0.502], [0.175, 0.750, 0.998], [0.253, 0.750, 0.298], [0.247, 0.250, 0.798], [0.747, 0.250, 0.702], [0.753, 0.750, 0.202], [0.047, 0.250, 0.845], [0.385, 0.250, 0.942], [0.284, 0.750, 0.707], [0.953, 0.750, 0.155], [0.115, 0.750, 0.442], [0.716, 0.250, 0.293], [0.784, 0.750, 0.793], [0.547, 0.250, 0.655], [0.216, 0.250, 0.207], [0.615, 0.750, 0.058], [0.453, 0.750, 0.345], [0.885, 0.250, 0.558]],
  "de_polymorph_mev_per_atom": 3.4
}



{
  "formula": "PrTlCoTe3",
  "functional": "PBE",
  "state": "relaxed",
  "cell": [[-3.077, 3.165, 6.845], [-4.871, -0.739, 6.485], [8.904, -4.660, 6.157]],
  "species": ["Te", "Te", "Te", "Te", "Te", "Te", "Co", "Co", "Pr", "Pr", "Tl", "Tl"],
  "fractional_positions": [[0.366, 0.366, 0.418], [0.634, 0.634, 0.582], [0.366, 0.366, 0.082], [0.929, 0.929, 0.750], [0.071, 0.071, 0.250], [0.634, 0.634, 0.918], [0.528, 0.528, 0.750], [0.472, 0.472, 0.250], [0.000, 0.000, 0.500], [0.000, 0.000, 0.000], [0.249, 0.249, 0.750], [0.751, 0.751, 0.250]],
  "de_polymorph_mev_per_atom": 0.0
}



{
  "formula": "Pr3Y3CoTe2",
  "functional": "PBE",
  "state": "relaxed",
  "cell": [[8.517, 0.000, 0.000], [-4.258, 7.376, 0.000], [0.000, 0.000, 4.071]],
  "species": ["Co", "Y", "Y", "Y", "Pr", "Pr", "Pr", "Te", "Te"],
  "fractional_positions": [[0.000, 0.000, 0.000], [0.769, 0.000, 0.500], [0.000, 0.769, 0.500], [0.231, 0.231, 0.500], [0.592, 0.592, 0.000], [0.408, 0.000, 0.000], [0.000, 0.408, 0.000], [0.333, 0.667, 0.500], [0.667, 0.333, 0.500]],
  "de_polymorph_mev_per_atom": 0.0
}



{
  "formula": "Pr3Y3CoTe2",
  "functional": "PBE",
  "state": "relaxed",
  "cell": [[-7.751, -3.477, -1.665], [2.975, 0.253, 8.125], [-1.675, 3.493, 0.505]],
  "species": ["Co", "Y", "Y", "Y", "Pr", "Pr", "Pr", "Te", "Te"],
  "fractional_positions": [[0.000, 0.000, 0.000], [0.409, 0.000, 0.000], [0.000, 0.409, 0.000], [0.591, 0.591, 0.000], [0.240, 0.240, 0.500], [0.000, 0.760, 0.500], [0.760, 0.000, 0.500], [0.333, 0.667, 0.500], [0.667, 0.333, 0.500]],
  "de_polymorph_mev_per_atom": 91.6
}



{
  "formula": "PrTlCo",
  "functional": "PBE",
  "state": "relaxed",
  "cell": [[-3.284, -2.034, 2.654], [-4.121, -1.200, -1.882], [-1.058, -4.521, -0.636]],
  "species": ["Co", "Pr", "Tl"],
  "fractional_positions": [[0.000, 0.000, 0.000], [0.250, 0.250, 0.250], [0.750, 0.750, 0.750]],
  "e_tot_ev_per_atom": -4.70
}



{
  "formula": "PrTlCo",
  "functional": "PBE",
  "state": "relaxed",
  "cell": [[0.654, -1.549, 4.645], [-3.353, 1.088, 3.461], [-2.887, -3.557, 1.847]],
  "species": ["Co", "Tl", "Pr"],
  "fractional_positions": [[0.750, 0.750, 0.750], [0.250, 0.250, 0.250], [0.000, 0.000, 0.000]],
  "e_tot_ev_per_atom": -4.07
}



{
  "formula": "Pr12TlCo6",
  "functional": "PBE",
  "state": "relaxed",
  "cell": [[-5.038, 5.038, 5.038], [5.038, -5.038, 5.038], [5.038, 5.038, -5.038]],
  "species": ["Co", "Co", "Co", "Co", "Co", "Co", "Pr", "Pr", "Pr", "Pr", "Pr", "Pr", "Pr", "Pr", "Pr", "Pr", "Pr", "Pr", "Tl"],
  "fractional_positions": [[0.390, 0.890, 0.500], [0.500, 0.390, 0.890], [0.890, 0.500, 0.390], [0.610, 0.110, 0.500], [0.110, 0.500, 0.610], [0.500, 0.610, 0.110], [0.693, 0.807, 0.501], [0.307, 0.807, 0.114], [0.886, 0.693, 0.193], [0.193, 0.886, 0.693], [0.501, 0.693, 0.807], [0.807, 0.501, 0.693], [0.807, 0.114, 0.307], [0.193, 0.499, 0.307], [0.499, 0.307, 0.193], [0.693, 0.193, 0.886], [0.307, 0.193, 0.499], [0.114, 0.307, 0.807], [0.000, 0.000, 0.000]],
  "e_tot_ev_per_atom": -5.49
}



{
  "formula": "PrYCo",
  "functional": "PBE",
  "state": "relaxed",
  "cell": [[0.000, 3.344, 3.344], [3.344, 0.000, 3.344], [3.344, 3.344, 0.000]],
  "species": ["Co", "Y", "Pr"],
  "fractional_positions": [[0.250, 0.250, 0.250], [0.000, 0.000, 0.000], [0.750, 0.750, 0.750]],
  "de_polymorph_mev_per_atom": 0.0,
  "formation_energy_ev_per_atom": 0.784
}